1.
This record from Alexandria via LeMat-Bulk describes crystalline DySn2PbSe4 at its relaxed geometry. The functional is GGA-PBE.

Properties
- N(E_F) (states/eV/cell) = 2.57
- E_tot (eV per atom) = -4.548
- uncorrected formation energy (meV/atom) = -766
- space-group type = P2/m

abc: 7.5546 4.0201 7.6777
angles: 90.00 103.74 90.00
Atoms (fractional coordinates):
1 Dy 0.0000 0.0000 0.0000
2 Sn 0.5000 0.0000 0.5000
3 Sn 0.5000 0.5000 0.0000
4 Pb 0.0000 0.5000 0.5000
5 Se 0.2221 0.5000 0.2152
6 Se 0.2525 0.0000 0.7617
7 Se 0.7475 0.0000 0.2383
8 Se 0.7779 0.5000 0.7848

---

2.
This record from Alexandria via LeMat-Bulk describes crystalline Tb6Ge3SeS2 at its relaxed geometry. The functional is GGA-PBE.

Properties
- N(E_F) (states/eV/cell) = 3.34
- E_tot (eV per atom) = -5.885
- uncorrected formation energy (meV/atom) = -1437
- space-group type = C2/m

abc: 9.1635 9.1635 8.2035
angles: 103.32 103.32 25.84
Atoms (fractional coordinates):
1 Tb 0.0008 0.0008 0.2576
2 Tb 0.3304 0.3304 0.9163
3 Tb 0.3331 0.3331 0.4162
4 Tb 0.6669 0.6669 0.5838
5 Tb 0.6696 0.6696 0.0837
6 Tb 0.9992 0.9992 0.7424
7 Ge 0.1657 0.1657 0.8319
8 Ge 0.5000 0.5000 0.5000
9 Ge 0.8343 0.8343 0.1681
10 Se 0.5000 0.5000 0.0000
11 S 0.1674 0.1674 0.3339
12 S 0.8326 0.8326 0.6661

---

3.
This record from Alexandria via LeMat-Bulk describes crystalline Er4GaHgN at its relaxed geometry. The functional is GGA-PBE.

Properties
- N(E_F) (states/eV/cell) = 1.43
- E_tot (eV per atom) = -5.059
- uncorrected formation energy (meV/atom) = -787
- space-group type = Cmcm

abc: 7.9694 7.9694 6.6935
angles: 90.00 90.00 130.33
Atoms (fractional coordinates):
1 Er 0.0000 0.5000 0.0000
2 Er 0.0000 0.5000 0.5000
3 Er 0.0790 0.9210 0.7500
4 Er 0.4188 0.5812 0.7500
5 Er 0.5000 0.0000 0.0000
6 Er 0.5000 0.0000 0.5000
7 Er 0.5812 0.4188 0.2500
8 Er 0.9210 0.0790 0.2500
9 Ga 0.1242 0.8758 0.2500
10 Ga 0.8758 0.1242 0.7500
11 Hg 0.3823 0.6177 0.2500
12 Hg 0.6177 0.3823 0.7500
13 N 0.2480 0.7520 0.7500
14 N 0.7520 0.2480 0.2500

---

4.
This record from Alexandria via LeMat-Bulk describes crystalline Pm4Ga2Pb at its relaxed geometry. The functional is GGA-PBE.

Properties
- N(E_F) (states/eV/cell) = 6.61
- E_form (eV per atom) = -0.0936
- E_tot (eV per atom) = -4.203
- space-group type = I4/mmm

abc: 7.6255 7.6255 7.6255
angles: 135.00 135.00 65.53
Atoms (fractional coordinates):
1 Pm 0.0000 0.5000 0.5000
2 Pm 0.2500 0.7500 0.5000
3 Pm 0.5000 0.0000 0.5000
4 Pm 0.7500 0.2500 0.5000
5 Ga 0.1190 0.1190 0.0000
6 Ga 0.8810 0.8810 0.0000
7 Pb 0.5000 0.5000 0.0000

---

5.
This record from Alexandria via LeMat-Bulk describes crystalline ScTc2Rh at its relaxed geometry. The functional is GGA-PBE.

Properties
- N(E_F) (states/eV/cell) = 5.68
- E_form (eV per atom) = 0.1203
- E_tot (eV per atom) = -8.483
- space-group type = Fm-3m

abc: 4.4550 4.4550 4.4550
angles: 60.00 60.00 60.00
Atoms (fractional coordinates):
1 Sc 0.0000 0.0000 0.0000
2 Tc 0.2500 0.2500 0.2500
3 Tc 0.7500 0.7500 0.7500
4 Rh 0.5000 0.5000 0.5000

---

6.
This record from Alexandria via LeMat-Bulk describes crystalline Li2TeAs at its relaxed geometry. The functional is GGA-PBE.

Properties
- N(E_F) (states/eV/cell) = 1.84
- E_tot (eV per atom) = -3.298
- uncorrected formation energy (meV/atom) = -393
- space-group type = I-4m2

abc: 5.7442 5.7442 5.7442
angles: 139.57 139.57 58.51
Atoms (fractional coordinates):
1 Li 0.0000 0.0000 0.0000
2 Li 0.7500 0.2500 0.5000
3 Te 0.2500 0.7500 0.5000
4 As 0.5000 0.5000 0.0000

---

7.
This record from Alexandria via LeMat-Bulk describes crystalline KSi2Mo at its relaxed geometry. The functional is GGA-PBE.

Properties
- N(E_F) (states/eV/cell) = 1.26
- E_tot (eV per atom) = -5.555
- uncorrected formation energy (meV/atom) = 138
- space-group type = Cm

abc: 4.5152 4.5152 7.6008
angles: 114.34 114.34 42.07
Atoms (fractional coordinates):
1 K 0.0000 0.0000 0.0000
2 Si 0.5664 0.5664 0.6368
3 Si 0.8823 0.8823 0.3930
4 Mo 0.2247 0.2247 0.5166

---

8.
This record from Alexandria via LeMat-Bulk describes crystalline CdH5Ir at its relaxed geometry. The functional is GGA-PBE.

Properties
- E_tot (eV per atom) = -3.774
- space-group type = C2/c

abc: 4.8710 4.8710 6.3169
angles: 107.50 107.50 100.49
Atoms (fractional coordinates):
1 Cd 0.1713 0.8287 0.7500
2 Cd 0.8287 0.1713 0.2500
3 H 0.1529 0.2507 0.8612
4 H 0.2507 0.1529 0.3612
5 H 0.2672 0.7115 0.4601
6 H 0.2885 0.7328 0.0399
7 H 0.4007 0.5993 0.2500
8 H 0.5993 0.4007 0.7500
9 H 0.7115 0.2672 0.9601
10 H 0.7328 0.2885 0.5399
11 H 0.7493 0.8471 0.6388
12 H 0.8471 0.7493 0.1388
13 Ir 0.5000 0.5000 0.0000
14 Ir 0.5000 0.5000 0.5000

---

9.
This record from Alexandria via LeMat-Bulk describes crystalline Y5Zr4 at its relaxed geometry. The functional is GGA-PBE.

Properties
- N(E_F) (states/eV/cell) = 31.33
- E_form (eV per atom) = 0.1444
- E_tot (eV per atom) = -7.246
- space-group type = P6_3/mcm

abc: 9.2068 9.2068 6.7358
angles: 90.00 90.00 120.00
Atoms (fractional coordinates):
1 Y 0.0000 0.3409 0.2500
2 Y 0.0000 0.6591 0.7500
3 Y 0.3333 0.6667 0.0000
4 Y 0.3333 0.6667 0.5000
5 Y 0.3409 0.0000 0.2500
6 Y 0.3409 0.3409 0.7500
7 Y 0.6591 0.0000 0.7500
8 Y 0.6591 0.6591 0.2500
9 Y 0.6667 0.3333 0.0000
10 Y 0.6667 0.3333 0.5000
11 Zr 0.0000 0.0000 0.0000
12 Zr 0.0000 0.0000 0.5000
13 Zr 0.0000 0.3108 0.7500
14 Zr 0.0000 0.6892 0.2500
15 Zr 0.3108 0.0000 0.7500
16 Zr 0.3108 0.3108 0.2500
17 Zr 0.6892 0.0000 0.2500
18 Zr 0.6892 0.6892 0.7500

---

10.
This record from Alexandria via LeMat-Bulk describes crystalline Cu2TcBr at its relaxed geometry. The functional is GGA-PBE.

Properties
- N(E_F) (states/eV/cell) = 1.87
- E_tot (eV per atom) = -4.023
- uncorrected formation energy (meV/atom) = 1035
- space-group type = Fm-3m

abc: 4.5519 4.5519 4.5519
angles: 60.00 60.00 60.00
Atoms (fractional coordinates):
1 Cu 0.2500 0.2500 0.2500
2 Cu 0.7500 0.7500 0.7500
3 Tc 0.0000 0.0000 0.0000
4 Br 0.5000 0.5000 0.5000

---

11.
This record from Alexandria via LeMat-Bulk describes crystalline Cs2K4CdBi2 at its relaxed geometry. The functional is GGA-PBE.

Properties
- N(E_F) (states/eV/cell) = 3.43
- E_form (eV per atom) = -0.2521
- E_tot (eV per atom) = -1.894
- space-group type = C2/m

abc: 9.6178 9.6178 6.3318
angles: 108.72 108.72 55.48
Atoms (fractional coordinates):
1 Cs 0.1415 0.1415 0.1474
2 Cs 0.8585 0.8585 0.8526
3 K 0.1468 0.5852 0.3607
4 K 0.4148 0.8532 0.6393
5 K 0.5852 0.1468 0.3607
6 K 0.8532 0.4148 0.6393
7 Cd 0.5000 0.5000 0.0000
8 Bi 0.3178 0.3178 0.8147
9 Bi 0.6822 0.6822 0.1853

---

12.
This record from Alexandria via LeMat-Bulk describes crystalline KSeCl3 at its relaxed geometry. The functional is GGA-PBE.

Properties
- N(E_F) (states/eV/cell) = 3.77
- E_tot (eV per atom) = -2.812
- uncorrected formation energy (meV/atom) = -787
- space-group type = P2_1/c

abc: 7.0796 7.8569 11.4557
angles: 90.00 93.79 90.00
Atoms (fractional coordinates):
1 K 0.0393 0.1534 0.1709
2 K 0.0393 0.3466 0.6709
3 K 0.9607 0.6534 0.3291
4 K 0.9607 0.8466 0.8291
5 Se 0.4767 0.6205 0.0798
6 Se 0.4767 0.8795 0.5798
7 Se 0.5233 0.1205 0.4202
8 Se 0.5233 0.3795 0.9202
9 Cl 0.1743 0.5247 0.1060
10 Cl 0.1743 0.9753 0.6060
11 Cl 0.2385 0.1952 0.9246
12 Cl 0.2385 0.3048 0.4246
13 Cl 0.3313 0.6244 0.7693
14 Cl 0.3313 0.8756 0.2693
15 Cl 0.6687 0.1244 0.7307
16 Cl 0.6687 0.3756 0.2307
17 Cl 0.7615 0.6952 0.5754
18 Cl 0.7615 0.8048 0.0754
19 Cl 0.8257 0.0247 0.3940
20 Cl 0.8257 0.4753 0.8940